(1)
A relaxed Rb2TeI crystal, computed with GGA-PBE.

Summary:
Its magnetization is 0.00 μB/cell. The total energy comes out at -2.52 eV/atom. For the density of states at the Fermi level, the calculation gives 6.55 states/eV per cell. The value obtained for the relative energy among the computed polymorphs is 0.892 eV per formula unit.

Lattice parameters (Å, degrees): 9.8837 9.8837 7.4432 90.00 90.00 90.00
Last column: nearest neighbours and their distance in Å.
Space group I-42d (No. 122)
One atom of each set of equivalent atoms:
Rb: 0.2475 0.2500 0.1250  2 Te 3.60, 2 I 3.63, 2 Rb 3.72
Te: 0.0000 0.0000 0.0000  4 Rb 3.60, 2 I 3.72
I: 0.0000 0.0000 0.5000  4 Rb 3.63, 2 Te 3.72

***

(2)
A relaxed BaCuP2O8 crystal, computed with GGA-PBE.

Summary:
Its magnetization is 2.85 μB/cell. The total energy comes out at -6.59 eV/atom. For the density of states at the Fermi level, the calculation gives 15.81 states/eV per cell.

Lattice parameters (Å, degrees): 4.8364 4.8364 23.1016 90.00 90.00 120.00
Last column: nearest neighbours and their distance in Å.
Space group R-3 (No. 148, hexagonal axes)
One atom of each set of equivalent atoms:
Ba: 0.0000 0.0000 0.0000  12 O 2.87-3.20
Cu: 0.0000 0.0000 0.5000  6 O 1.98
P: 0.0000 0.0000 0.2367  4 O 1.55
O: 0.0000 0.0000 0.3038  1 P 1.55
O: 0.0125 0.6409 0.8848  1 P 1.55

***

(3)
A relaxed CsIrRh2 crystal, computed with GGA-PBE.

Summary:
Its magnetization is 0.00 μB/cell. The total energy comes out at -4.76 eV/atom. The formation enthalpy at 0 K comes out at 1.343 eV/atom. For the density of states at the Fermi level, the calculation gives 17.07 states/eV per cell. The value obtained for the relative energy among the computed polymorphs is 1.763 eV per formula unit.

Lattice parameters (Å, degrees): 6.6803 6.6803 6.6803 90.00 90.00 90.00
Last column: nearest neighbours and their distance in Å.
Space group Fm-3m (No. 225)
One atom of each set of equivalent atoms:
Cs: 0.0000 0.0000 0.0000  8 Rh 2.89
Ir: 0.0000 0.0000 0.5000  8 Rh 2.89
Rh: 0.2500 0.2500 0.2500  4 Ir 2.89, 4 Cs 2.89

***

(4)
A relaxed KHCl3 crystal, computed with GGA-PBE.

Summary:
Its magnetization is 1.70 μB/cell. The total energy comes out at -1.63 eV/atom. For the density of states at the Fermi level, the calculation gives 13.80 states/eV per cell. The value obtained for the relative energy among the computed polymorphs is 5.884 eV per formula unit.

Lattice parameters (Å, degrees): 5.9310 5.9310 5.9310 90.00 90.00 90.00
Last column: nearest neighbours and their distance in Å.
Space group Pm-3m (No. 221)
One atom of each set of equivalent atoms:
K: 0.0000 0.0000 0.0000  6 Cl 2.97
H: 0.5000 0.5000 0.5000  12 Cl 4.19
Cl: 0.0000 0.0000 0.5000  2 K 2.97

***

(5)
A relaxed Mg2ZnGa2Pt5 crystal, computed with GGA-PBE.

Summary:
Its magnetization is 0.00 μB/cell. The total energy comes out at -4.71 eV/atom. The formation enthalpy at 0 K comes out at -0.635 eV/atom. For the density of states at the Fermi level, the calculation gives 6.42 states/eV per cell.

Lattice parameters (Å, degrees): 9.3676 9.3676 3.7171 90.00 90.00 90.00
Last column: nearest neighbours and their distance in Å.
Space group P4/mbm (No. 127)
One atom of each set of equivalent atoms:
Mg: 0.1707 0.3293 0.0000  3 Ga 2.65-2.84, 2 Pt 2.93
Zn: 0.0000 0.0000 0.0000  8 Pt 2.71
Ga: 0.1291 0.6291 0.0000  6 Pt 2.52-2.53, 1 Mg 2.65
Pt: 0.0000 0.5000 0.5000  4 Ga 2.53
Pt: 0.0741 0.8030 0.5000  2 Ga 2.52, 2 Zn 2.71, 2 Pt 2.79

***

(6)
A relaxed ScPaSnPd crystal, computed with GGA-PBE.

Summary:
Its magnetization is 7.42 μB/cell. The total energy comes out at -6.59 eV/atom. The formation enthalpy at 0 K comes out at -0.334 eV/atom. For the density of states at the Fermi level, the calculation gives 33.45 states/eV per cell.

Lattice parameters (Å, degrees): 7.1505 7.1505 7.1505 90.00 90.00 90.00
Last column: nearest neighbours and their distance in Å.
Space group F-43m (No. 216)
One atom of each set of equivalent atoms:
Sc: 0.0000 0.0000 0.0000  4 Sn 3.10, 4 Pd 3.10
Pa: 0.0000 0.0000 0.5000  4 Pd 3.10, 4 Sn 3.10
Sn: 0.2500 0.2500 0.7500  4 Pa 3.10, 4 Sc 3.10
Pd: 0.2500 0.2500 0.2500  4 Sc 3.10, 4 Pa 3.10

***

(7)
A relaxed CaAc2La2 crystal, computed with GGA-PBE.

Summary:
Its magnetization is 0.00 μB/cell. The total energy comes out at -3.99 eV/atom. The formation enthalpy at 0 K comes out at 0.022 eV/atom. For the density of states at the Fermi level, the calculation gives 7.87 states/eV per cell. The value obtained for the relative energy among the computed polymorphs is 0.000 eV per formula unit.

Lattice parameters (Å, degrees): 3.8827 3.8827 15.8185 90.00 90.00 120.00
Last column: nearest neighbours and their distance in Å.
Space group P-3m1 (No. 164)
One atom of each set of equivalent atoms:
Ca: 0.0000 0.0000 0.0000  6 Ca 3.88, 6 Ac 3.98
Ac: 0.3333 0.6667 0.7924  3 La 3.81, 6 Ac 3.88, 3 Ca 3.98
La: 0.3333 0.6667 0.4023  3 Ac 3.81, 9 La 3.82-3.88

***

(8)
A relaxed Ba6SiSe2Br3 crystal, computed with GGA-PBE.

Summary:
Its magnetization is 0.00 μB/cell. The total energy comes out at -4.03 eV/atom. For the density of states at the Fermi level, the calculation gives 7.78 states/eV per cell.

Lattice parameters (Å, degrees): 8.2707 14.3253 8.3475 90.00 109.24 90.00
Last column: nearest neighbours and their distance in Å.
Space group C2/m (No. 12)
One atom of each set of equivalent atoms:
Ba: 0.2370 0.1626 0.2234  1 Si 3.22, 2 Se 3.30, 3 Br 3.49-3.55
Ba: 0.2504 0.0000 0.7755  1 Si 3.22, 2 Se 3.30, 3 Br 3.50-3.56
Si: 0.0000 0.0000 0.0000  6 Ba 3.22
Se: 0.0000 0.3336 0.0000  6 Ba 3.30
Br: 0.0000 0.1684 0.5000  6 Ba 3.49-3.55
Br: 0.0000 0.5000 0.5000  6 Ba 3.49-3.56

***

> Which formula does entry 5 have?

Mg2ZnGa2Pt5